# La12In3Hg

An optimized crystal structure of La12In3Hg (PBE, Alexandria via LeMat-Bulk).

Cell: 5.0637 5.0637 20.1391 Å, 90.00 90.00 90.00°
Element x y z (fractional)
1 La 0.0000 0.0000 0.0000
2 La 0.0000 0.0000 0.2481
3 La 0.0000 0.0000 0.5000
4 La 0.0000 0.0000 0.7519
5 La 0.0000 0.5000 0.1240
6 La 0.0000 0.5000 0.3744
7 La 0.0000 0.5000 0.6256
8 La 0.0000 0.5000 0.8760
9 La 0.5000 0.0000 0.1240
10 La 0.5000 0.0000 0.3744
11 La 0.5000 0.0000 0.6256
12 La 0.5000 0.0000 0.8760
13 In 0.5000 0.5000 0.2484
14 In 0.5000 0.5000 0.5000
15 In 0.5000 0.5000 0.7516
16 Hg 0.5000 0.5000 0.0000

Values from the calculation:
Spin magnetization   0.00 μB/f.u.
Energy of formation   -280 meV per atom
D(E_F)   21.72 states/eV/f.u.